No. 1
## HOs2Pd2 (PBE)

Data for crystalline HOs2Pd2 at its relaxed geometry.

It has space group P4/mbm (No. 127), with a = 7.8213 Å, b = 7.8213 Å, c = 2.6497 Å, α = 90.00°, β = 90.00° and γ = 90.00°. The inequivalent atoms are H at (0.0000, 0.0000, 0.0000), Os at (0.1103, 0.3897, 0.5000) and Pd at (0.1852, 0.6852, 0.0000).

The calculation puts the energy above the lowest structure with this stoichiometry at 0.43 eV per formula unit. The total DFT energy (no corrections) is -0.448 Ry/atom. The calculation puts the total magnetization at 0.87 μB per formula unit.

=====

No. 2
## H2OsPd (PBE)

Data for crystalline H2OsPd at its relaxed geometry.

It has space group Fm-3m (No. 225), with a = 5.2924 Å, b = 5.2924 Å, c = 5.2924 Å, α = 90.00°, β = 90.00° and γ = 90.00°. The inequivalent atoms are H at (0.2500, 0.2500, 0.2500), Os at (0.0000, 0.0000, 0.0000) and Pd at (0.0000, 0.0000, 0.5000).

The calculation puts the energy above the lowest structure with this stoichiometry at 2.27 eV per formula unit. The total DFT energy (no corrections) is -0.354 Ry/atom. The calculation puts the total magnetization at 0.00 μB per formula unit.

=====

No. 3
## H3OsPd (PBE)

Data for crystalline H3OsPd at its relaxed geometry.

It has space group Pm-3m (No. 221), with a = 3.4554 Å, b = 3.4554 Å, c = 3.4554 Å, α = 90.00°, β = 90.00° and γ = 90.00°. The inequivalent atoms are H at (0.0000, 0.0000, 0.5000), Os at (0.0000, 0.0000, 0.0000) and Pd at (0.5000, 0.5000, 0.5000).

The calculation puts the energy above the lowest structure with this stoichiometry at 0.00 eV per formula unit. The total DFT energy (no corrections) is -0.356 Ry/atom. The calculation puts the total magnetization at 0.00 μB per formula unit.

=====

No. 4
## H2OsPd2 (PBE)

Data for crystalline H2OsPd2 at its relaxed geometry.

It has space group I4/mmm (No. 139), with a = 4.5499 Å, b = 4.5499 Å, c = 5.5236 Å, α = 90.00°, β = 90.00° and γ = 90.00°. The inequivalent atoms are H at (0.0000, 0.0000, 0.1889), Os at (0.0000, 0.0000, 0.5000) and Pd at (0.0000, 0.5000, 0.2500).

The calculation puts the energy above the lowest structure with this stoichiometry at 0.32 eV per formula unit. The total DFT energy (no corrections) is -0.380 Ry/atom. The calculation puts the total magnetization at 0.24 μB per formula unit.

=====

No. 5
## H2OsPd (PBE)

Data for crystalline H2OsPd at its relaxed geometry.

It has space group I-42d (No. 122), with a = 4.3021 Å, b = 4.3021 Å, c = 7.9795 Å, α = 90.00°, β = 90.00° and γ = 90.00°. The inequivalent atoms are H at (0.2403, 0.2500, 0.1250), Os at (0.0000, 0.0000, 0.0000) and Pd at (0.0000, 0.0000, 0.5000).

The calculation puts the energy above the lowest structure with this stoichiometry at 0.00 eV per formula unit. The total DFT energy (no corrections) is -0.396 Ry/atom. The calculation puts the total magnetization at 0.00 μB per formula unit.

=====

No. 6
## H2OsPd2 (PBE)

Data for crystalline H2OsPd2 at its relaxed geometry.

It has space group P4/mbm (No. 127), with a = 6.2941 Å, b = 6.2941 Å, c = 2.7560 Å, α = 90.00°, β = 90.00° and γ = 90.00°. The inequivalent atoms are H at (0.2131, 0.2869, 0.0000), Os at (0.0000, 0.0000, 0.0000) and Pd at (0.1607, 0.6607, 0.5000).

The calculation puts the energy above the lowest structure with this stoichiometry at 0.00 eV per formula unit. The total DFT energy (no corrections) is -0.384 Ry/atom. The calculation puts the total magnetization at 0.00 μB per formula unit.

=====

No. 7
## HOsPd2Pt (PBE)

Data for crystalline HOsPd2Pt at its relaxed geometry.

It has space group P4/mmm (No. 123), with a = 3.9918 Å, b = 3.9918 Å, c = 3.9404 Å, α = 90.00°, β = 90.00° and γ = 90.00°. The inequivalent atoms are H at (0.0000, 0.0000, 0.0000), Os at (0.0000, 0.0000, 0.5000), Pd at (0.0000, 0.5000, 0.0000) and Pt at (0.5000, 0.5000, 0.5000).

The total DFT energy (no corrections) is -0.436 Ry/atom. The calculation puts the total magnetization at 0.00 μB per formula unit.

=====

No. 8
## HOsPdRh2 (PBE)

Data for crystalline HOsPdRh2 at its relaxed geometry.

It has space group P4/mmm (No. 123), with a = 3.9273 Å, b = 3.9273 Å, c = 3.9148 Å, α = 90.00°, β = 90.00° and γ = 90.00°. The inequivalent atoms are H at (0.0000, 0.0000, 0.0000), Os at (0.0000, 0.0000, 0.5000), Pd at (0.5000, 0.5000, 0.5000) and Rh at (0.0000, 0.5000, 0.0000).

The total DFT energy (no corrections) is -0.489 Ry/atom. The calculation puts the total magnetization at 0.00 μB per formula unit.

=====

No. 9
## SbHOs2Pd (PBE)

Data for crystalline SbHOs2Pd at its relaxed geometry.

It has space group P4/mmm (No. 123), with a = 5.0154 Å, b = 5.0154 Å, c = 4.9284 Å, α = 90.00°, β = 90.00° and γ = 90.00°. The inequivalent atoms are Sb at (0.0000, 0.0000, 0.0000), H at (0.5000, 0.5000, 0.0000), Os at (0.0000, 0.5000, 0.5000) and Pd at (0.0000, 0.0000, 0.5000).

The total DFT energy (no corrections) is -0.326 Ry/atom. The calculation puts the total magnetization at 6.82 μB per formula unit.

=====

No. 10
## Sc2HOsPd (PBE)

Data for crystalline Sc2HOsPd at its relaxed geometry.

It has space group P4/mmm (No. 123), with a = 4.5003 Å, b = 4.5003 Å, c = 3.5658 Å, α = 90.00°, β = 90.00° and γ = 90.00°. The inequivalent atoms are Sc at (0.0000, 0.5000, 0.0000), H at (0.0000, 0.0000, 0.0000), Os at (0.0000, 0.0000, 0.5000) and Pd at (0.5000, 0.5000, 0.5000).

The total DFT energy (no corrections) is -0.519 Ry/atom. The calculation puts the total magnetization at 0.00 μB per formula unit.

=====

No. 11
## Ta2HOsPd (PBE)

Data for crystalline Ta2HOsPd at its relaxed geometry.

It has space group P4/mmm (No. 123), with a = 4.1248 Å, b = 4.1248 Å, c = 3.9343 Å, α = 90.00°, β = 90.00° and γ = 90.00°. The inequivalent atoms are Ta at (0.0000, 0.5000, 0.0000), H at (0.0000, 0.0000, 0.0000), Os at (0.0000, 0.0000, 0.5000) and Pd at (0.5000, 0.5000, 0.5000).

The total DFT energy (no corrections) is -0.652 Ry/atom. The calculation puts the total magnetization at 0.00 μB per formula unit.

=====

No. 12
## TaHOs2Pd (PBE)

Data for crystalline TaHOs2Pd at its relaxed geometry.

It has space group P4/mmm (No. 123), with a = 4.0157 Å, b = 4.0157 Å, c = 3.9043 Å, α = 90.00°, β = 90.00° and γ = 90.00°. The inequivalent atoms are Ta at (0.0000, 0.0000, 0.0000), H at (0.5000, 0.5000, 0.5000), Os at (0.0000, 0.5000, 0.5000) and Pd at (0.5000, 0.5000, 0.0000).

The calculation puts the energy above the lowest structure with this stoichiometry at 0.00 eV per formula unit. The total DFT energy (no corrections) is -0.636 Ry/atom. The calculation puts the total magnetization at 0.00 μB per formula unit.

=====

No. 13
## Ta2HOsPd (PBE)

Data for crystalline Ta2HOsPd at its relaxed geometry.

It has space group P4/mmm (No. 123), with a = 4.1303 Å, b = 4.1303 Å, c = 3.9219 Å, α = 90.00°, β = 90.00° and γ = 90.00°. The inequivalent atoms are Ta at (0.0000, 0.5000, 0.0000), H at (0.0000, 0.0000, 0.0000), Os at (0.5000, 0.5000, 0.5000) and Pd at (0.0000, 0.0000, 0.5000).

The total DFT energy (no corrections) is -0.652 Ry/atom. The calculation puts the total magnetization at 0.00 μB per formula unit.

=====

No. 14
## TaHOs2Pd (PBE)

Data for crystalline TaHOs2Pd at its relaxed geometry.

It has space group P4/mmm (No. 123), with a = 3.9623 Å, b = 3.9623 Å, c = 4.0143 Å, α = 90.00°, β = 90.00° and γ = 90.00°. The inequivalent atoms are Ta at (0.0000, 0.0000, 0.0000), H at (0.0000, 0.0000, 0.5000), Os at (0.0000, 0.5000, 0.5000) and Pd at (0.5000, 0.5000, 0.0000).

The calculation puts the energy above the lowest structure with this stoichiometry at 0.17 eV per formula unit. The total DFT energy (no corrections) is -0.634 Ry/atom. The calculation puts the total magnetization at 0.00 μB per formula unit.

=====

| no. | Fermi-level density of states (states/eV per atom) |
| --- | --- |
| 1 | 0.973 |
| 2 | 1.177 |
| 3 | 0.681 |
| 4 | 0.777 |
| 5 | 0.593 |
| 6 | 0.818 |
| 7 | 0.829 |
| 8 | 1.564 |
| 9 | 1.121 |
| 10 | 0.481 |
| 11 | 0.572 |
| 12 | 0.364 |
| 13 | 0.460 |
| 14 | 0.343 |